Record 1
HoPa2NbN4, optimized geometry, DFT PBE; SG = P2/m
1.0
5.816 0.000 0.000
0.000 3.439 0.000
-1.999 0.000 5.534
Ho Pa Nb N
1 2 1 4
direct
0.000 0.000 0.000
0.500 0.000 0.500
0.500 0.500 0.000
0.000 0.500 0.500
0.240 0.000 0.739
0.247 0.500 0.256
0.753 0.500 0.744
0.760 0.000 0.261

Record 2
HoPaNbN3, optimized geometry, DFT PBE; SG = P2_1/m
1.0
6.997 0.000 0.000
0.000 3.260 0.000
-0.510 0.000 8.115
Ho Pa Nb N
2 2 2 6
direct
0.114 0.250 0.336
0.886 0.750 0.664
0.393 0.750 0.669
0.607 0.250 0.331
0.157 0.250 0.946
0.843 0.750 0.054
0.140 0.750 0.116
0.153 0.250 0.651
0.383 0.750 0.396
0.617 0.250 0.604
0.847 0.750 0.349
0.860 0.250 0.884

Record 3
Ho2PaNbN6, optimized geometry, DFT PBE; SG = R3
1.0
2.882 1.664 4.903
-2.882 1.664 4.903
0.000 -3.327 4.903
Ho Pa Nb N
2 1 1 6
direct
0.000 0.000 0.000
0.499 0.499 0.499
0.225 0.225 0.225
0.726 0.726 0.726
0.064 0.443 0.852
0.358 0.917 0.586
0.443 0.852 0.064
0.586 0.358 0.917
0.852 0.064 0.443
0.917 0.586 0.358

Record 4
Ho2PaNbN4, optimized geometry, DFT PBE; SG = P2/m
1.0
5.796 0.000 0.000
0.000 3.379 0.000
-1.926 0.000 5.573
Ho Pa Nb N
2 1 1 4
direct
0.000 0.000 0.000
0.500 0.500 0.000
0.000 0.500 0.500
0.500 0.000 0.500
0.251 0.000 0.743
0.257 0.500 0.265
0.743 0.500 0.735
0.749 0.000 0.257

Per-record formation energy from raw total energies, eV/atom: -1.481, -1.166, -1.071, -1.519